An optimized crystal structure of Pm5Sm3Sn. Source: Alexandria via LeMat-Bulk, functional PBE.

Summary:
calculated formation energy	0.2886	eV per atom
V	1274.0	Å³/cell
Fermi-level density of states	51.2	states/eV per cell

Lattice parameters (Å, degrees): 13.814 8.029 11.545 90.00 95.71 90.00
Space group C2/m (No. 12)
Unique sites:
Pm: 0.000 0.169 0.000 [4 per cell]
Pm: 0.010 0.000 0.370 [4 per cell]
Pm: 0.121 0.288 0.756 [8 per cell]
Pm: 0.237 0.500 0.041 [4 per cell]
Sm: 0.000 0.500 0.000 [2 per cell]
Sm: 0.000 0.500 0.500 [2 per cell]
Sm: 0.168 0.000 0.216 [4 per cell]
Sm: 0.241 0.000 0.533 [4 per cell]
Sn: 0.095 0.500 0.258 [4 per cell]

=====

An optimized crystal structure of Pm8Sm6Sn. Source: Alexandria via LeMat-Bulk, functional PBE.

Summary:
calculated formation energy	0.0277	eV per atom
V	507.9	Å³/cell
Fermi-level density of states	20.0	states/eV per cell

Lattice parameters (Å, degrees): 9.3883 9.3883 6.6543 90.00 90.00 120.00
Space group P-3 (No. 147)
Unique sites:
Pm: 0.0396 0.7719 0.3199 [6 per cell]
Pm: 0.3333 0.6667 0.3669 [2 per cell]
Sm: 0.0927 0.6490 0.8338 [6 per cell]
Sn: 0.0000 0.0000 0.0000 [1 per cell]

=====

An optimized crystal structure of PmSm5Sn3. Source: Alexandria via LeMat-Bulk, functional PBE.

Summary:
calculated formation energy	-0.5749	eV per atom
V	528.2	Å³/cell
Fermi-level density of states	19.0	states/eV per cell

Lattice parameters (Å, degrees): 9.5400 9.5400 6.7013 90.00 90.00 120.00
Space group P6_3/mcm (No. 193)
Unique sites:
Pm: 0.0000 0.0000 0.0000 [2 per cell]
Sm: 0.0000 0.3331 0.2500 [6 per cell]
Sm: 0.3333 0.6667 0.0000 [4 per cell]
Sn: 0.0000 0.3340 0.7500 [6 per cell]

=====

An optimized crystal structure of PmSmSn2. Source: Alexandria via LeMat-Bulk, functional PBE.

Summary:
calculated formation energy	-0.6697	eV per atom
V	111.8	Å³/cell
Fermi-level density of states	3.9	states/eV per cell

Lattice parameters (Å, degrees): 3.520 3.520 9.022 90.00 90.00 90.00
Space group P4/mmm (No. 123)
Unique sites:
Pm: 0.000 0.000 0.000 [1 per cell]
Sm: 0.000 0.000 0.500 [1 per cell]
Sn: 0.500 0.500 0.251 [2 per cell]

=====

An optimized crystal structure of Pm3SmSn2. Source: Alexandria via LeMat-Bulk, functional PBE.

Summary:
calculated formation energy	-0.5809	eV per atom
energy above the lowest structure with this stoichiometry	0.000	eV per atom
V	187.1	Å³/cell
Fermi-level density of states	7.5	states/eV per cell

Lattice parameters (Å, degrees): 4.618 4.618 8.773 90.00 90.00 90.00
Space group P-4m2 (No. 115)
Unique sites:
Pm: 0.000 0.000 0.000 [1 per cell]
Pm: 0.000 0.500 0.650 [2 per cell]
Sm: 0.500 0.500 0.000 [1 per cell]
Sn: 0.000 0.500 0.280 [2 per cell]

=====

An optimized crystal structure of Pm3Sm5Sn2. Source: Alexandria via LeMat-Bulk, functional PBE.

Summary:
calculated formation energy	-0.0750	eV per atom
V	1332.6	Å³/cell
Fermi-level density of states	52.0	states/eV per cell

Lattice parameters (Å, degrees): 12.989 15.719 6.527 90.00 90.00 90.00
Space group Ibam (No. 72)
Unique sites:
Pm: 0.000 0.000 0.250 [4 per cell]
Pm: 0.128 0.218 0.000 [8 per cell]
Sm: 0.000 0.500 0.250 [4 per cell]
Sm: 0.094 0.336 0.500 [8 per cell]
Sm: 0.248 0.500 0.250 [8 per cell]
Sn: 0.136 0.147 0.500 [8 per cell]

=====

An optimized crystal structure of Pm5SmSn8. Source: Alexandria via LeMat-Bulk, functional PBE.

Summary:
calculated formation energy	-0.5500	eV per atom
V	840.2	Å³/cell
Fermi-level density of states	19.8	states/eV per cell

Lattice parameters (Å, degrees): 9.085 9.085 10.180 90.00 90.00 90.00
Space group I-4 (No. 82)
Unique sites:
Pm: 0.000 0.000 0.000 [2 per cell]
Pm: 0.135 0.783 0.609 [8 per cell]
Sm: 0.000 0.500 0.250 [2 per cell]
Sn: 0.074 0.654 0.939 [8 per cell]
Sn: 0.113 0.825 0.292 [8 per cell]

=====

An optimized crystal structure of Pm8SmSn6. Source: Alexandria via LeMat-Bulk, functional PBE.

Summary:
calculated formation energy	-0.5715	eV per atom
V	1479.5	Å³/cell
Fermi-level density of states	27.9	states/eV per cell

Lattice parameters (Å, degrees): 9.2971 9.2971 19.7650 90.00 90.00 120.00
Space group R-3 (No. 148, hexagonal axes)
Unique sites:
Pm: 0.0000 0.0000 0.1666 [6 per cell]
Pm: 0.0005 0.3333 0.7290 [18 per cell]
Sm: 0.0000 0.0000 0.5000 [3 per cell]
Sn: 0.0000 0.3325 0.5675 [18 per cell]

=====

An optimized crystal structure of Pm2SmSn2. Source: Alexandria via LeMat-Bulk, functional PBE.

Summary:
calculated formation energy	-0.6965	eV per atom
energy above the lowest structure with this stoichiometry	0.000	eV per atom
V	304.9	Å³/cell
Fermi-level density of states	10.9	states/eV per cell

Lattice parameters (Å, degrees): 8.271 8.271 4.458 90.00 90.00 90.00
Space group P4/mbm (No. 127)
Unique sites:
Pm: 0.171 0.329 0.000 [4 per cell]
Sm: 0.000 0.000 0.500 [2 per cell]
Sn: 0.130 0.630 0.500 [4 per cell]

=====

An optimized crystal structure of Pm2SmSn. Source: Alexandria via LeMat-Bulk, functional PBE.

Summary:
calculated formation energy	-0.0227	eV per atom
energy above the lowest structure with this stoichiometry	0.426	eV per atom
V	430.2	Å³/cell
Fermi-level density of states	20.5	states/eV per cell

Lattice parameters (Å, degrees): 4.6805 4.6805 22.6762 90.00 90.00 120.00
Space group R3m (No. 160, hexagonal axes)
Unique sites:
Pm: 0.0000 0.0000 0.0000 [3 per cell]
Pm: 0.0000 0.0000 0.1999 [3 per cell]
Sm: 0.0000 0.0000 0.7656 [3 per cell]
Sn: 0.0000 0.0000 0.6002 [3 per cell]

=====

An optimized crystal structure of Pm8SmSn5. Source: Alexandria via LeMat-Bulk, functional PBE.

Summary:
calculated formation energy	-0.5119	eV per atom
V	879.9	Å³/cell
Fermi-level density of states	35.5	states/eV per cell

Lattice parameters (Å, degrees): 9.601 9.601 9.545 90.00 90.00 90.00
Space group I-4 (No. 82)
Unique sites:
Pm: 0.071 0.339 0.050 [8 per cell]
Pm: 0.080 0.187 0.686 [8 per cell]
Sm: 0.000 0.000 0.000 [2 per cell]
Sn: 0.000 0.500 0.750 [2 per cell]
Sn: 0.132 0.245 0.365 [8 per cell]

=====

An optimized crystal structure of Pm8Sm2Sn. Source: Alexandria via LeMat-Bulk, functional PBE.

Summary:
calculated formation energy	-0.1156	eV per atom
V	721.0	Å³/cell
Fermi-level density of states	29.8	states/eV per cell

Lattice parameters (Å, degrees): 18.435 5.008 8.093 90.00 105.22 90.00
Space group C2/m (No. 12)
Unique sites:
Pm: 0.043 0.000 0.232 [4 per cell]
Pm: 0.089 0.500 0.938 [4 per cell]
Pm: 0.136 0.000 0.677 [4 per cell]
Pm: 0.177 0.500 0.408 [4 per cell]
Sm: 0.223 0.000 0.134 [4 per cell]
Sn: 0.000 0.500 0.500 [2 per cell]

=====

An optimized crystal structure of Pm2Sm3Sn. Source: Alexandria via LeMat-Bulk, functional PBE.

Summary:
calculated formation energy	-0.2026	eV per atom
energy above the lowest structure with this stoichiometry	0.058	eV per atom
V	382.8	Å³/cell
Fermi-level density of states	12.9	states/eV per cell

Lattice parameters (Å, degrees): 9.848 3.600 10.798 90.00 90.14 90.00
Space group P2_1/m (No. 11)
Unique sites:
Pm: 0.105 0.250 0.096 [2 per cell]
Pm: 0.356 0.750 0.583 [2 per cell]
Sm: 0.105 0.250 0.404 [2 per cell]
Sm: 0.356 0.750 0.917 [2 per cell]
Sm: 0.378 0.750 0.250 [2 per cell]
Sn: 0.130 0.250 0.750 [2 per cell]

=====

An optimized crystal structure of Pm12SmSn3. Source: Alexandria via LeMat-Bulk, functional PBE.

Summary:
calculated formation energy	-0.3208	eV per atom
V	494.2	Å³/cell
Fermi-level density of states	17.2	states/eV per cell

Lattice parameters (Å, degrees): 4.949 4.949 20.179 90.00 90.00 90.00
Space group P4/mmm (No. 123)
Unique sites:
Pm: 0.000 0.000 0.000 [1 per cell]
Pm: 0.000 0.000 0.242 [2 per cell]
Pm: 0.000 0.000 0.500 [1 per cell]
Pm: 0.000 0.500 0.121 [4 per cell]
Pm: 0.000 0.500 0.366 [4 per cell]
Sm: 0.500 0.500 0.500 [1 per cell]
Sn: 0.500 0.500 0.000 [1 per cell]
Sn: 0.500 0.500 0.244 [2 per cell]

=====

An optimized crystal structure of Pm6SmSn6. Source: Alexandria via LeMat-Bulk, functional PBE.

Summary:
calculated formation energy	-0.4411	eV per atom
V	434.0	Å³/cell
Fermi-level density of states	13.6	states/eV per cell

Lattice parameters (Å, degrees): 7.3701 7.3701 9.2251 90.00 90.00 120.00
Space group P6/mmm (No. 191)
Unique sites:
Pm: 0.0000 0.5000 0.2471 [6 per cell]
Sm: 0.0000 0.0000 0.5000 [1 per cell]
Sn: 0.0000 0.0000 0.1609 [2 per cell]
Sn: 0.3333 0.6667 0.0000 [2 per cell]
Sn: 0.3333 0.6667 0.5000 [2 per cell]

=====

An optimized crystal structure of Pm2Sm3Sn. Source: Alexandria via LeMat-Bulk, functional PBE.

Summary:
calculated formation energy	-0.2609	eV per atom
energy above the lowest structure with this stoichiometry	0.000	eV per atom
V	375.8	Å³/cell
Fermi-level density of states	14.2	states/eV per cell

Lattice parameters (Å, degrees): 4.912 15.447 4.953 90.00 90.00 90.00
Space group Cmmm (No. 65)
Unique sites:
Pm: 0.000 0.160 0.000 [4 per cell]
Sm: 0.000 0.000 0.500 [2 per cell]
Sm: 0.000 0.337 0.500 [4 per cell]
Sn: 0.000 0.500 0.000 [2 per cell]

=====

An optimized crystal structure of Pm6Sm12Sn. Source: Alexandria via LeMat-Bulk, functional PBE.

Summary:
calculated formation energy	0.0267	eV per atom
V	1925.6	Å³/cell
Fermi-level density of states	81.8	states/eV per cell

Lattice parameters (Å, degrees): 12.0568 12.0568 15.2957 90.00 90.00 120.00
Space group R-3 (No. 148, hexagonal axes)
Unique sites:
Pm: 0.0167 0.4271 0.1831 [18 per cell]
Sm: 0.0014 0.8284 0.6864 [18 per cell]
Sm: 0.0444 0.8484 0.9161 [18 per cell]
Sn: 0.0000 0.0000 0.5000 [3 per cell]

=====

An optimized crystal structure of Pm2SmSn9. Source: Alexandria via LeMat-Bulk, functional PBE.

Summary:
calculated formation energy	-0.4838	eV per atom
V	323.1	Å³/cell
Fermi-level density of states	8.3	states/eV per cell

Lattice parameters (Å, degrees): 4.733 4.733 14.423 90.00 90.00 90.00
Space group P4/mmm (No. 123)
Unique sites:
Pm: 0.000 0.000 0.167 [2 per cell]
Sm: 0.000 0.000 0.500 [1 per cell]
Sn: 0.000 0.500 0.000 [2 per cell]
Sn: 0.000 0.500 0.334 [4 per cell]
Sn: 0.500 0.500 0.167 [2 per cell]
Sn: 0.500 0.500 0.500 [1 per cell]

=====

An optimized crystal structure of PmSmSn2. Source: Alexandria via LeMat-Bulk, functional PBE.

Summary:
calculated formation energy	-0.6633	eV per atom
V	111.3	Å³/cell
Fermi-level density of states	4.1	states/eV per cell

Lattice parameters (Å, degrees): 4.955 4.955 4.535 90.00 90.00 90.00
Space group P4/mmm (No. 123)
Unique sites:
Pm: 0.000 0.000 0.000 [1 per cell]
Sm: 0.500 0.500 0.000 [1 per cell]
Sn: 0.000 0.500 0.500 [2 per cell]

=====

An optimized crystal structure of PmSmSnTe. Source: Alexandria via LeMat-Bulk, functional PBE.

Summary:
energy above the lowest structure with this stoichiometry	0.267	eV per atom
V	465.2	Å³/cell
Fermi-level density of states	12.8	states/eV per cell
uncorrected formation energy	-0.84	eV per atom

Lattice parameters (Å, degrees): 7.748 7.748 7.748 90.00 90.00 90.00
Space group F-43m (No. 216)
Unique sites:
Pm: 0.000 0.000 0.000 [4 per cell]
Sm: 0.000 0.000 0.500 [4 per cell]
Sn: 0.250 0.250 0.750 [4 per cell]
Te: 0.250 0.250 0.250 [4 per cell]